1.
# Li2TcTe GGA-PBE optimized geometry
data_Li2TcTe
_chemical_formula_sum 'Li6 Tc3 Te3'
_cell_length_a 2.9897
_cell_length_b 2.9897
_cell_length_c 28.0423
_cell_angle_alpha 90.00
_cell_angle_beta 90.00
_cell_angle_gamma 120.00
_symmetry_space_group_name_H-M 'R -3 m'
_symmetry_Int_Tables_number 166
_symmetry_space_group_name_Hall '-R 3 2"'
loop_
_atom_site_label
_atom_site_fract_x
_atom_site_fract_y
_atom_site_fract_z
_atom_site_occupancy
Li1 0.0000 0.0000 0.2451 1
Tc1 0.0000 0.0000 0.5000 1
Te1 0.0000 0.0000 0.0000 1
# Volume: 217 Å³/cell
# Formation energy without anion corrections: 0.29 eV/atom

=====

2.
# LiTcTe2 GGA-PBE optimized geometry
data_LiTcTe2
_chemical_formula_sum 'Li3 Tc3 Te6'
_cell_length_a 3.8703
_cell_length_b 3.8703
_cell_length_c 25.4491
_cell_angle_alpha 90.00
_cell_angle_beta 90.00
_cell_angle_gamma 120.00
_symmetry_space_group_name_H-M 'R -3 m'
_symmetry_Int_Tables_number 166
_symmetry_space_group_name_Hall '-R 3 2"'
loop_
_atom_site_label
_atom_site_fract_x
_atom_site_fract_y
_atom_site_fract_z
_atom_site_occupancy
Li1 0.0000 0.0000 0.0000 1
Tc1 0.0000 0.0000 0.5000 1
Te1 0.0000 0.0000 0.1048 1
# Volume: 330 Å³/cell
# Formation energy without anion corrections: -0.10 eV/atom
# Energy relative to the lowest polymorph listed for this composition: 103 meV per atom

=====

3.
# LiTc2Te GGA-PBE optimized geometry
data_LiTc2Te
_chemical_formula_sum 'Li2 Tc4 Te2'
_cell_length_a 3.787
_cell_length_b 3.787
_cell_length_c 8.857
_cell_angle_alpha 90.00
_cell_angle_beta 90.00
_cell_angle_gamma 90.00
_symmetry_space_group_name_H-M 'I 4/m m m'
_symmetry_Int_Tables_number 139
_symmetry_space_group_name_Hall '-I 4 2'
loop_
_atom_site_label
_atom_site_fract_x
_atom_site_fract_y
_atom_site_fract_z
_atom_site_occupancy
Li1 0.000 0.000 0.000 1
Tc1 0.000 0.500 0.250 1
Te1 0.000 0.000 0.500 1
# Volume: 127 Å³/cell
# Formation energy without anion corrections: 0.32 eV/atom

=====

4.
# LiTc2Te GGA-PBE optimized geometry
data_LiTc2Te
_chemical_formula_sum 'Li1 Tc2 Te1'
_cell_length_a 3.044
_cell_length_b 3.044
_cell_length_c 7.818
_cell_angle_alpha 90.00
_cell_angle_beta 90.00
_cell_angle_gamma 90.00
_symmetry_space_group_name_H-M 'P 4 m m'
_symmetry_Int_Tables_number 99
loop_
_symmetry_equiv_pos_as_xyz
'x,y,z'
'-y,x,z'
'-x,-y,z'
'y,-x,z'
'-x,y,z'
'y,x,z'
'x,-y,z'
'-y,-x,z'
loop_
_atom_site_label
_atom_site_fract_x
_atom_site_fract_y
_atom_site_fract_z
_atom_site_occupancy
Li1 0.000 0.000 0.000 1
Tc1 0.000 0.000 0.425 1
Tc2 0.500 0.500 0.251 1
Te1 0.500 0.500 0.713 1
# Volume: 72 Å³/cell
# Formation energy without anion corrections: 0.22 eV/atom

=====

5.
# LiTcTe3 GGA-PBE optimized geometry
data_LiTcTe3
_chemical_formula_sum 'Li1 Tc1 Te3'
_cell_length_a 5.359
_cell_length_b 5.359
_cell_length_c 5.359
_cell_angle_alpha 90.00
_cell_angle_beta 90.00
_cell_angle_gamma 90.00
_symmetry_space_group_name_H-M 'P m -3 m'
_symmetry_Int_Tables_number 221
_symmetry_space_group_name_Hall '-P 4 2 3'
loop_
_atom_site_label
_atom_site_fract_x
_atom_site_fract_y
_atom_site_fract_z
_atom_site_occupancy
Li1 0.000 0.000 0.000 1
Tc1 0.500 0.500 0.500 1
Te1 0.000 0.500 0.500 1
# Volume: 154 Å³/cell
# Formation energy without anion corrections: 0.26 eV/atom
# Energy relative to the lowest polymorph listed for this composition: 0 meV per atom

=====

6.
# LiTc2Te GGA-PBE optimized geometry
data_LiTc2Te
_chemical_formula_sum 'Li3 Tc6 Te3'
_cell_length_a 3.0864
_cell_length_b 3.0864
_cell_length_c 24.8995
_cell_angle_alpha 90.00
_cell_angle_beta 90.00
_cell_angle_gamma 120.00
_symmetry_space_group_name_H-M 'R -3 m'
_symmetry_Int_Tables_number 166
_symmetry_space_group_name_Hall '-R 3 2"'
loop_
_atom_site_label
_atom_site_fract_x
_atom_site_fract_y
_atom_site_fract_z
_atom_site_occupancy
Li1 0.0000 0.0000 0.0000 1
Tc1 0.0000 0.0000 0.2458 1
Te1 0.0000 0.0000 0.5000 1
# Volume: 205 Å³/cell
# Formation energy without anion corrections: 0.62 eV/atom

=====

7.
# LiTc2Te GGA-PBE optimized geometry
data_LiTc2Te
_chemical_formula_sum 'Li2 Tc4 Te2'
_cell_length_a 5.298
_cell_length_b 8.812
_cell_length_c 3.038
_cell_angle_alpha 90.00
_cell_angle_beta 114.13
_cell_angle_gamma 90.00
_symmetry_space_group_name_H-M 'C 1 2/m 1'
_symmetry_Int_Tables_number 12
loop_
_symmetry_equiv_pos_as_xyz
'x,y,z'
'-x,-y,-z'
'-x,y,-z'
'x,-y,z'
'x+1/2,y+1/2,z'
'-x+1/2,-y+1/2,-z'
'-x+1/2,y+1/2,-z'
'x+1/2,-y+1/2,z'
loop_
_atom_site_label
_atom_site_fract_x
_atom_site_fract_y
_atom_site_fract_z
_atom_site_occupancy
Li1 0.000 0.000 0.000 1
Tc1 0.250 0.250 0.500 1
Te1 0.000 0.500 0.000 1
# Volume: 129 Å³/cell
# Formation energy without anion corrections: 0.48 eV/atom

=====

8.
# LiTc2Te GGA-PBE optimized geometry
data_LiTc2Te
_chemical_formula_sum 'Li1 Tc2 Te1'
_cell_length_a 4.289
_cell_length_b 4.289
_cell_length_c 3.349
_cell_angle_alpha 90.00
_cell_angle_beta 90.00
_cell_angle_gamma 90.00
_symmetry_space_group_name_H-M 'P 4/m m m'
_symmetry_Int_Tables_number 123
_symmetry_space_group_name_Hall '-P 4 2'
loop_
_atom_site_label
_atom_site_fract_x
_atom_site_fract_y
_atom_site_fract_z
_atom_site_occupancy
Li1 0.000 0.000 0.000 1
Tc1 0.000 0.500 0.500 1
Te1 0.500 0.500 0.000 1
# Volume: 62 Å³/cell
# Formation energy without anion corrections: 0.37 eV/atom

=====

> What is the formation energy without anion corrections in the sixth record?

0.62 eV/atom